# Sr3PaCo2O9 (GGA+U, optimized geometry)
# crystal system: trigonal
# E: -103.85 eV per formula unit
# magnetization: 2.89 μB/cell
data_Sr3PaCo2O9
_cell_length_a 5.6311
_cell_length_b 5.6311
_cell_length_c 7.1802
_cell_angle_alpha 90.00
_cell_angle_beta 90.00
_cell_angle_gamma 120.00
_space_group_name_H-M_alt 'P -3 m 1'
_space_group_IT_number 164
_space_group_name_Hall '-P 3 2"'
loop_
_atom_site_label
_atom_site_type_symbol
_atom_site_fract_x
_atom_site_fract_y
_atom_site_fract_z
_atom_site_occupancy
Sr1 Sr 0.0000 0.0000 0.0000 1
Sr2 Sr 0.3333 0.6667 0.7228 1
Pa1 Pa 0.0000 0.0000 0.5000 1
Co1 Co 0.3333 0.6667 0.1596 1
O1 O 0.0000 0.5000 0.0000 1
O2 O 0.1719 0.3437 0.3159 1